The following is a PBE calculation of Ta6Be15Cu8 after structural relaxation, from Alexandria via LeMat-Bulk.

Cell lengths 7.6540, 7.6540, 7.6540 Å; angles 60.00, 60.00, 60.00 degrees
With the nearest neighbours (Å) after each atom.
Fractional coordinates of all 29 atoms:
1 Be 0.5000 0.5000 0.0000  4 Be 2.21, 4 Cu 2.36
2 Be 0.1727 0.1727 0.1727  6 Be 2.21-2.37, 3 Cu 2.34
3 Be 0.1727 0.4818 0.1727  6 Be 2.21-2.37, 3 Cu 2.34
4 Be 0.5000 0.0000 0.5000  4 Be 2.21, 4 Cu 2.36
5 Be 0.0000 0.5000 0.0000  4 Be 2.21, 4 Cu 2.36
6 Be 0.4818 0.1727 0.1727  6 Be 2.21-2.37, 3 Cu 2.34
7 Be 0.1727 0.1727 0.4818  6 Be 2.21-2.37, 3 Cu 2.34
8 Be 0.5182 0.8273 0.8273  6 Be 2.21-2.37, 3 Cu 2.34
9 Be 0.0000 0.0000 0.5000  4 Be 2.21, 4 Cu 2.36
10 Be 0.0000 0.5000 0.5000  4 Be 2.21, 4 Cu 2.36
11 Be 0.8273 0.5182 0.8273  6 Be 2.21-2.37, 3 Cu 2.34
12 Be 0.8273 0.8273 0.8273  6 Be 2.21-2.37, 3 Cu 2.34
13 Be 0.8273 0.8273 0.5182  6 Be 2.21-2.37, 3 Cu 2.34
14 Be 0.5000 0.5000 0.5000  8 Cu 2.30
15 Be 0.5000 0.0000 0.0000  4 Be 2.21, 4 Cu 2.36
16 Ta 0.1923 0.8077 0.8077  8 Be 2.65-2.78, 4 Cu 2.75, 4 Ta 2.94
17 Ta 0.8077 0.1923 0.8077  8 Be 2.65-2.78, 4 Cu 2.75, 4 Ta 2.94
18 Ta 0.1923 0.1923 0.8077  8 Be 2.65-2.78, 4 Cu 2.75, 4 Ta 2.94
19 Ta 0.8077 0.8077 0.1923  8 Be 2.65-2.78, 4 Cu 2.75, 4 Ta 2.94
20 Ta 0.8077 0.1923 0.1923  8 Be 2.65-2.78, 4 Cu 2.75, 4 Ta 2.94
21 Ta 0.1923 0.8077 0.1923  8 Be 2.65-2.78, 4 Cu 2.75, 4 Ta 2.94
22 Cu 0.8688 0.3771 0.3771  7 Be 2.30-2.36
23 Cu 0.3771 0.3771 0.3771  7 Be 2.30-2.36
24 Cu 0.6229 0.6229 0.1312  7 Be 2.30-2.36
25 Cu 0.3771 0.3771 0.8688  7 Be 2.30-2.36
26 Cu 0.6229 0.6229 0.6229  7 Be 2.30-2.36
27 Cu 0.3771 0.8688 0.3771  7 Be 2.30-2.36
28 Cu 0.1312 0.6229 0.6229  7 Be 2.30-2.36
29 Cu 0.6229 0.1312 0.6229  7 Be 2.30-2.36

Values from the calculation:
E in hartree per atom: -0.2102
Fermi-level density of states in states/eV per cell: 17.055



The following is a PBE calculation of TaBe2Cu after structural relaxation, from Alexandria via LeMat-Bulk.

Cell lengths 4.9918, 4.9918, 4.9918 Å; angles 149.70, 129.62, 59.93 degrees
With the nearest neighbours (Å) after each atom.
Fractional coordinates of all 4 atoms:
1 Be 0.0294 0.0294 0.0000  2 Be 2.24
2 Be 0.2401 0.7401 0.5000  2 Be 2.24, 2 Cu 2.41, 4 Ta 2.50
3 Ta 0.7566 0.2566 0.5000  6 Be 2.50-2.70, 2 Ta 2.61, 2 Cu 2.77
4 Cu 0.4739 0.4739 0.0000  6 Be 2.41-2.54, 2 Cu 2.61

Values from the calculation:
E in hartree per atom: -0.2084
Fermi-level density of states in states/eV per cell: 1.877



The following is a PBE calculation of TaBeCu3 after structural relaxation, from Alexandria via LeMat-Bulk.

Cell lengths 4.0076, 4.0076, 4.0076 Å; angles 90.00, 90.00, 90.00 degrees
With the nearest neighbours (Å) after each atom.
Fractional coordinates of all 5 atoms:
1 Be 0.0000 0.0000 0.0000  6 Cu 2.00
2 Ta 0.5000 0.5000 0.5000  12 Cu 2.83
3 Cu 0.5000 0.0000 0.0000  2 Be 2.00
4 Cu 0.0000 0.0000 0.5000  2 Be 2.00
5 Cu 0.0000 0.5000 0.0000  2 Be 2.00

Values from the calculation:
E in hartree per atom: -0.1892
Fermi-level density of states in states/eV per cell: 3.711



The following is a PBE calculation of TaBe2Cu after structural relaxation, from Alexandria via LeMat-Bulk.

Cell lengths 4.0778, 4.0793, 4.1830 Å; angles 120.54, 120.51, 90.31 degrees
With the nearest neighbours (Å) after each atom.
Fractional coordinates of all 4 atoms:
1 Be 0.9854 0.0146 0.9998  4 Be 2.40-2.61, 4 Ta 2.50-2.51
2 Be 0.2545 0.7455 0.5001  4 Be 2.40-2.61, 4 Cu 2.44-2.57
3 Ta 0.7472 0.2528 0.5000  4 Cu 2.49-2.52, 4 Be 2.50-2.51
4 Cu 0.5129 0.4870 0.0002  4 Be 2.44-2.57, 4 Ta 2.49-2.52

Values from the calculation:
E in hartree per atom: -0.2075
Fermi-level density of states in states/eV per cell: 1.234



The following is a PBE calculation of TaBe9Cu2 after structural relaxation, from Alexandria via LeMat-Bulk.

Cell lengths 4.3500, 4.3500, 7.2601 Å; angles 72.57, 72.57, 60.00 degrees
With the nearest neighbours (Å) after each atom.
Fractional coordinates of all 12 atoms:
1 Cu 0.1426 0.1426 0.5723  12 Be 2.49-2.56, 3 Cu 2.70
2 Cu 0.8574 0.8574 0.4277  12 Be 2.49-2.56, 3 Cu 2.70
3 Ta 0.0000 0.0000 0.0000  18 Be 2.51-2.76
4 Be 0.4162 0.9177 0.2500  7 Be 2.10-2.18
5 Be 0.5838 0.0823 0.7500  7 Be 2.10-2.18
6 Be 0.6674 0.6674 0.9978  6 Be 2.10-2.13
7 Be 0.9177 0.4162 0.2500  7 Be 2.10-2.18
8 Be 0.3326 0.3326 0.0022  6 Be 2.10-2.13
9 Be 0.5000 0.5000 0.5000  6 Be 2.12
10 Be 0.5838 0.5838 0.7500  7 Be 2.10-2.18
11 Be 0.4162 0.4162 0.2500  7 Be 2.10-2.18
12 Be 0.0823 0.5838 0.7500  7 Be 2.10-2.18

Values from the calculation:
E in hartree per atom: -0.1686
Fermi-level density of states in states/eV per cell: 4.232



The following is a PBE calculation of TaBe2Cu after structural relaxation, from Alexandria via LeMat-Bulk.

Cell lengths 3.8726, 3.8727, 3.2064 Å; angles 90.00, 90.00, 89.99 degrees
With the nearest neighbours (Å) after each atom.
Fractional coordinates of all 4 atoms:
1 Ta 0.0000 0.5000 0.5000  8 Be 2.51, 4 Cu 2.74
2 Be 0.5000 0.5000 0.0000  4 Ta 2.51, 4 Cu 2.51, 4 Be 2.74
3 Be 0.0000 0.0000 0.0000  4 Cu 2.51, 4 Ta 2.51, 4 Be 2.74
4 Cu 0.5000 0.0000 0.5000  8 Be 2.51, 4 Ta 2.74

Values from the calculation:
E in hartree per atom: -0.2123
Fermi-level density of states in states/eV per cell: 2.167



The following is a PBE calculation of Ta4BeCu after structural relaxation, from Alexandria via LeMat-Bulk.

Cell lengths 4.8840, 6.1771, 6.1771 Å; angles 90.00, 90.00, 90.00 degrees
With the nearest neighbours (Å) after each atom.
Fractional coordinates of all 12 atoms:
1 Ta 0.5000 0.3540 0.8289  2 Be 2.54, 2 Cu 2.72, 1 Ta 2.78
2 Ta 0.5000 0.6460 0.1711  2 Be 2.54, 2 Cu 2.72, 1 Ta 2.78
3 Ta 0.0000 0.3540 0.1711  2 Be 2.54, 2 Cu 2.72, 1 Ta 2.78
4 Ta 0.5000 0.1711 0.3540  2 Be 2.54, 2 Cu 2.72, 1 Ta 2.78
5 Ta 0.5000 0.8289 0.6460  2 Be 2.54, 2 Cu 2.72, 1 Ta 2.78
6 Ta 0.0000 0.6460 0.8289  2 Be 2.54, 2 Cu 2.72, 1 Ta 2.78
7 Ta 0.0000 0.1711 0.6460  2 Be 2.54, 2 Cu 2.72, 1 Ta 2.78
8 Ta 0.0000 0.8289 0.3540  2 Be 2.54, 2 Cu 2.72, 1 Ta 2.78
9 Be 0.7500 0.5000 0.5000  2 Be 2.44, 8 Ta 2.54
10 Be 0.2500 0.5000 0.5000  2 Be 2.44, 8 Ta 2.54
11 Cu 0.7500 0.0000 0.0000  2 Cu 2.44, 8 Ta 2.72
12 Cu 0.2500 0.0000 0.0000  2 Cu 2.44, 8 Ta 2.72

Values from the calculation:
E in hartree per atom: -0.3407
Fermi-level density of states in states/eV per cell: 10.093



The following is a PBE calculation of TaBe2TlCu after structural relaxation, from Alexandria via LeMat-Bulk.

Cell lengths 4.3260, 5.3670, 4.3260 Å; angles 90.00, 90.00, 90.00 degrees
With the nearest neighbours (Å) after each atom.
Fractional coordinates of all 5 atoms:
1 Be 0.5000 0.0000 0.0000  2 Tl 2.16
2 Be 0.0000 0.0000 0.5000  2 Tl 2.16
3 Ta 0.0000 0.5000 0.0000  2 Tl 2.68
4 Tl 0.0000 0.0000 0.0000  4 Be 2.16
5 Cu 0.5000 0.5000 0.5000  4 Ta 3.06

Values from the calculation:
E in hartree per atom: -0.1286
Fermi-level density of states in states/eV per cell: 3.882



The following is a PBE calculation of ZrTaBeCu2 after structural relaxation, from Alexandria via LeMat-Bulk.

Cell lengths 4.7746, 4.9141, 4.7746 Å; angles 90.00, 90.00, 90.00 degrees
With the nearest neighbours (Å) after each atom.
Fractional coordinates of all 5 atoms:
1 Be 0.5000 0.5000 0.5000  4 Zr 3.38, 8 Cu 3.43
2 Zr 0.0000 0.5000 0.0000  2 Ta 2.46
3 Ta 0.0000 0.0000 0.0000  4 Cu 2.39, 2 Zr 2.46
4 Cu 0.0000 0.0000 0.5000  2 Ta 2.39
5 Cu 0.5000 0.0000 0.0000  2 Ta 2.39

Values from the calculation:
E in hartree per atom: -0.1788
Fermi-level density of states in states/eV per cell: 5.142